# Ho6P2Se3S

Ho6P2Se3S after structural relaxation (PBE, Alexandria via LeMat-Bulk).

The formation energy from raw total energies is -1.8110 eV/atom. For the volume, the calculation gives 22.79 Å³ per atom.

The space group is C2/m (No. 12) and the conventional cell measures 17.574, 3.983 and 8.067 Å, with angles of 90.00, 104.44 and 90.00 degrees. The asymmetric unit holds Ho at (0.007, 0.000, 0.240), Ho at (0.164, 0.500, 0.099), Ho at (0.173, 0.500, 0.570), P at (0.166, 0.000, 0.332), Se at (0.000, 0.500, 0.500), Se at (0.165, 0.000, 0.834) and S at (0.000, 0.500, 0.000).